No. 1
{
  "formula": "CaZn12Pt6",
  "functional": "PBE-GGA",
  "state": "optimized geometry",
  "density_g_cm3": 10.1,
  "magnetic_moment_mub_per_fu": 0.0,
  "sg": "No. 166",
  "formation_energy_ev_per_atom": -0.383,
  "crystal_system": "trigonal",
  "energy_ev_per_atom": -3.2006,
  "lattice_angstrom": [[5.723, 3.304, 2.896], [-5.723, 3.304, 2.896], [0.000, -6.608, 2.896]],
  "species": ["Ca", "Zn", "Zn", "Zn", "Zn", "Zn", "Zn", "Zn", "Zn", "Zn", "Zn", "Zn", "Zn", "Pt", "Pt", "Pt", "Pt", "Pt", "Pt"],
  "frac_coords": [[0.000, 0.000, 0.000], [0.112, 0.500, 0.888], [0.112, 0.888, 0.500], [0.129, 0.393, 0.393], [0.393, 0.129, 0.393], [0.393, 0.393, 0.129], [0.500, 0.112, 0.888], [0.500, 0.888, 0.112], [0.607, 0.607, 0.871], [0.607, 0.871, 0.607], [0.871, 0.607, 0.607], [0.888, 0.112, 0.500], [0.888, 0.500, 0.112], [0.278, 0.278, 0.700], [0.278, 0.700, 0.278], [0.300, 0.722, 0.722], [0.700, 0.278, 0.278], [0.722, 0.300, 0.722], [0.722, 0.722, 0.300]]
}


No. 2
{
  "formula": "CaZnPt",
  "functional": "PBE-GGA",
  "state": "optimized geometry",
  "density_g_cm3": 8.3,
  "magnetic_moment_mub_per_fu": 0.0,
  "sg": "No. 107",
  "formation_energy_ev_per_atom": -0.595,
  "crystal_system": "tetragonal",
  "energy_ev_per_atom": -3.7000,
  "lattice_angstrom": [[-1.733, 1.733, 4.996], [1.733, -1.733, 4.996], [1.733, 1.733, -4.996]],
  "species": ["Ca", "Zn", "Pt"],
  "frac_coords": [[0.000, 0.000, 0.000], [0.292, 0.292, 0.000], [0.690, 0.690, 0.000]]
}


No. 3
{
  "formula": "Ca8ZnPt2",
  "functional": "PBE-GGA",
  "state": "optimized geometry",
  "density_g_cm3": 3.8,
  "magnetic_moment_mub_per_fu": 0.0,
  "sg": "No. 8",
  "formation_energy_ev_per_atom": -0.446,
  "crystal_system": "monoclinic",
  "energy_ev_per_atom": -3.1157,
  "lattice_angstrom": [[4.528, -6.623, 0.000], [4.528, 6.623, 0.000], [-1.439, 0.000, 5.696]],
  "species": ["Ca", "Ca", "Ca", "Ca", "Ca", "Ca", "Ca", "Ca", "Zn", "Pt", "Pt"],
  "frac_coords": [[0.000, 0.000, 0.000], [0.046, 0.313, 0.618], [0.140, 0.618, 0.204], [0.313, 0.046, 0.618], [0.443, 0.710, 0.795], [0.618, 0.140, 0.204], [0.710, 0.443, 0.795], [0.752, 0.752, 0.403], [0.376, 0.376, 0.107], [0.062, 0.691, 0.701], [0.691, 0.062, 0.701]]
}


No. 4
{
  "formula": "Ca8Zn2Pt",
  "functional": "PBE-GGA",
  "state": "optimized geometry",
  "density_g_cm3": 3.0,
  "magnetic_moment_mub_per_fu": 0.0,
  "sg": "No. 8",
  "formation_energy_ev_per_atom": -0.258,
  "de_polymorph_mev_per_atom": 15,
  "crystal_system": "monoclinic",
  "energy_ev_per_atom": -2.4949,
  "lattice_angstrom": [[4.396, -7.064, 0.000], [4.396, 7.064, 0.000], [-2.912, 0.000, 5.837]],
  "species": ["Ca", "Ca", "Ca", "Ca", "Ca", "Ca", "Ca", "Ca", "Zn", "Zn", "Pt"],
  "frac_coords": [[0.000, 0.000, 0.000], [0.142, 0.516, 0.184], [0.243, 0.988, 0.547], [0.438, 0.688, 0.804], [0.516, 0.142, 0.184], [0.677, 0.677, 0.389], [0.688, 0.438, 0.804], [0.988, 0.243, 0.547], [0.049, 0.664, 0.716], [0.664, 0.049, 0.716], [0.336, 0.336, 0.416]]
}


No. 5
{
  "formula": "CaZn2Pt2",
  "functional": "PBE-GGA",
  "state": "optimized geometry",
  "density_g_cm3": 9.9,
  "magnetic_moment_mub_per_fu": 0.0,
  "sg": "No. 139",
  "formation_energy_ev_per_atom": -0.703,
  "de_polymorph_mev_per_atom": 0,
  "crystal_system": "tetragonal",
  "energy_ev_per_atom": -4.0295,
  "lattice_angstrom": [[-2.066, 2.066, 11.061], [2.066, -2.066, 11.061], [2.066, 2.066, -11.061]],
  "species": ["Ca", "Ca", "Zn", "Zn", "Zn", "Zn", "Pt", "Pt", "Pt", "Pt"],
  "frac_coords": [[0.130, 0.130, 0.000], [0.870, 0.870, 0.000], [0.000, 0.500, 0.500], [0.319, 0.319, 0.000], [0.500, 0.000, 0.500], [0.681, 0.681, 0.000], [0.250, 0.750, 0.500], [0.431, 0.431, 0.000], [0.569, 0.569, 0.000], [0.750, 0.250, 0.500]]
}


No. 6
{
  "formula": "CaZn2Pt",
  "functional": "PBE-GGA",
  "state": "optimized geometry",
  "density_g_cm3": 8.4,
  "magnetic_moment_mub_per_fu": 0.0,
  "sg": "No. 65",
  "formation_energy_ev_per_atom": -0.152,
  "crystal_system": "orthorhombic",
  "energy_ev_per_atom": -2.7995,
  "lattice_angstrom": [[2.792, -4.374, 0.000], [2.792, 4.374, 0.000], [0.000, 0.000, 2.966]],
  "species": ["Ca", "Zn", "Zn", "Pt"],
  "frac_coords": [[0.000, 0.000, 0.000], [0.000, 0.500, 0.500], [0.500, 0.000, 0.500], [0.500, 0.500, 0.000]]
}


No. 7
{
  "formula": "Ca4ZnPt4",
  "functional": "PBE-GGA",
  "state": "optimized geometry",
  "density_g_cm3": 7.7,
  "magnetic_moment_mub_per_fu": 0.0,
  "sg": "No. 86",
  "formation_energy_ev_per_atom": -0.738,
  "crystal_system": "tetragonal",
  "energy_ev_per_atom": -4.4535,
  "lattice_angstrom": [[8.651, 0.000, 0.000], [0.000, 8.651, 0.000], [0.000, 0.000, 5.779]],
  "species": ["Ca", "Ca", "Ca", "Ca", "Ca", "Ca", "Ca", "Ca", "Zn", "Zn", "Pt", "Pt", "Pt", "Pt", "Pt", "Pt", "Pt", "Pt"],
  "frac_coords": [[0.048, 0.680, 0.114], [0.180, 0.952, 0.614], [0.320, 0.548, 0.614], [0.452, 0.820, 0.114], [0.548, 0.180, 0.886], [0.680, 0.452, 0.386], [0.820, 0.048, 0.386], [0.952, 0.320, 0.886], [0.250, 0.250, 0.250], [0.750, 0.750, 0.750], [0.009, 0.368, 0.389], [0.132, 0.009, 0.111], [0.368, 0.491, 0.111], [0.491, 0.132, 0.389], [0.509, 0.868, 0.611], [0.632, 0.509, 0.889], [0.868, 0.991, 0.889], [0.991, 0.632, 0.611]]
}


No. 8
{
  "formula": "Ca8Zn2Pt",
  "functional": "PBE-GGA",
  "state": "optimized geometry",
  "density_g_cm3": 3.2,
  "magnetic_moment_mub_per_fu": 0.0,
  "sg": "No. 12",
  "formation_energy_ev_per_atom": -0.273,
  "de_polymorph_mev_per_atom": 0,
  "crystal_system": "monoclinic",
  "energy_ev_per_atom": -2.5095,
  "lattice_angstrom": [[9.405, -2.649, 0.000], [9.405, 2.649, 0.000], [-2.060, 0.000, 6.819]],
  "species": ["Ca", "Ca", "Ca", "Ca", "Ca", "Ca", "Ca", "Ca", "Zn", "Zn", "Pt"],
  "frac_coords": [[0.029, 0.029, 0.299], [0.210, 0.210, 0.812], [0.344, 0.344, 0.535], [0.409, 0.409, 0.076], [0.591, 0.591, 0.924], [0.656, 0.656, 0.465], [0.790, 0.790, 0.188], [0.971, 0.971, 0.701], [0.186, 0.186, 0.224], [0.814, 0.814, 0.776], [0.500, 0.500, 0.500]]
}